Entry 1
! GGA-PBE TbSm3Er3, optimized geometry; values from VASP
&SYSTEM
  ibrav = 0, nat = 14, ntyp = 3
/
ATOMIC_SPECIES
Tb 158.93 Tb.upf
Sm 150.36 Sm.upf
Er 167.26 Er.upf
ATOMIC_POSITIONS crystal
Tb 0.333 0.667 0.250
Tb 0.667 0.333 0.750
Sm 0.049 0.241 0.250
Sm 0.193 0.951 0.250
Sm 0.241 0.193 0.750
Sm 0.759 0.807 0.250
Sm 0.807 0.049 0.750
Sm 0.951 0.759 0.750
Er 0.095 0.478 0.750
Er 0.383 0.905 0.750
Er 0.478 0.383 0.250
Er 0.522 0.617 0.750
Er 0.617 0.095 0.250
Er 0.905 0.522 0.250
CELL_PARAMETERS angstrom
9.584 0.000 0.000
-4.792 8.300 0.000
0.000 0.000 5.703
! density of states at the Fermi level: 13.12 states/eV/f.u.

=====

Entry 2
! GGA-PBE TbSm3Er3, optimized geometry; values from VASP
&SYSTEM
  ibrav = 0, nat = 14, ntyp = 3
/
ATOMIC_SPECIES
Tb 158.93 Tb.upf
Sm 150.36 Sm.upf
Er 167.26 Er.upf
ATOMIC_POSITIONS crystal
Tb 0.167 0.167 0.167
Tb 0.833 0.833 0.833
Sm 0.038 0.700 0.368
Sm 0.300 0.632 0.962
Sm 0.368 0.038 0.700
Sm 0.632 0.962 0.300
Sm 0.700 0.368 0.038
Sm 0.962 0.300 0.632
Er 0.101 0.435 0.768
Er 0.232 0.899 0.565
Er 0.435 0.768 0.101
Er 0.565 0.232 0.899
Er 0.768 0.101 0.435
Er 0.899 0.565 0.232
CELL_PARAMETERS angstrom
3.091 1.785 14.292
-3.091 1.785 14.292
0.000 -3.569 14.292
! density of states at the Fermi level: 10.70 states/eV/f.u.

=====

It comes down to entry 1, which is 145 meV/atom more stable than the next structure.

=====

Entry 1
! GGA-PBE Tb4SmEr, optimized geometry; values from VASP
&SYSTEM
  ibrav = 0, nat = 12, ntyp = 3
/
ATOMIC_SPECIES
Tb 158.93 Tb.upf
Sm 150.36 Sm.upf
Er 167.26 Er.upf
ATOMIC_POSITIONS crystal
Tb 0.138 0.344 0.750
Tb 0.155 0.845 0.570
Tb 0.155 0.845 0.930
Tb 0.344 0.138 0.250
Tb 0.656 0.862 0.750
Tb 0.845 0.155 0.070
Tb 0.845 0.155 0.430
Tb 0.862 0.656 0.250
Sm 0.324 0.676 0.250
Sm 0.676 0.324 0.750
Er 0.500 0.500 0.000
Er 0.500 0.500 0.500
CELL_PARAMETERS angstrom
3.363 -5.990 0.000
3.363 5.990 0.000
0.000 0.000 9.769
! density of states at the Fermi level: 8.97 states/eV/f.u.

=====

Entry 2
! GGA-PBE Tb4SmEr, optimized geometry; values from VASP
&SYSTEM
  ibrav = 0, nat = 6, ntyp = 3
/
ATOMIC_SPECIES
Tb 158.93 Tb.upf
Sm 150.36 Sm.upf
Er 167.26 Er.upf
ATOMIC_POSITIONS crystal
Tb 0.166 0.499 0.168
Tb 0.167 0.001 0.665
Tb 0.833 0.999 0.335
Tb 0.834 0.501 0.832
Sm 0.500 0.000 0.000
Er 0.500 0.500 0.500
CELL_PARAMETERS angstrom
3.565 0.000 0.000
1.776 5.898 0.000
1.771 1.609 9.106
! density of states at the Fermi level: 7.58 states/eV/f.u.

=====

Entry 3
! GGA-PBE Tb4SmEr, optimized geometry; values from VASP
&SYSTEM
  ibrav = 0, nat = 6, ntyp = 3
/
ATOMIC_SPECIES
Tb 158.93 Tb.upf
Sm 150.36 Sm.upf
Er 167.26 Er.upf
ATOMIC_POSITIONS crystal
Tb 0.125 0.125 0.125
Tb 0.125 0.125 0.626
Tb 0.125 0.626 0.125
Tb 0.626 0.125 0.125
Sm 0.500 0.500 0.500
Er 0.750 0.750 0.750
CELL_PARAMETERS angstrom
0.000 4.651 4.651
4.651 0.000 4.651
4.651 4.651 0.000
! density of states at the Fermi level: 9.71 states/eV/f.u.

=====

It comes down to entry 2, which is 239 meV/atom more stable than the next structure.

=====

Entry 1
! GGA-PBE Tb6SmEr4, optimized geometry; values from VASP
&SYSTEM
  ibrav = 0, nat = 22, ntyp = 3
/
ATOMIC_SPECIES
Tb 158.93 Tb.upf
Sm 150.36 Sm.upf
Er 167.26 Er.upf
ATOMIC_POSITIONS crystal
Tb 0.000 0.000 0.000
Tb 0.000 0.000 0.500
Tb 0.029 0.971 0.750
Tb 0.305 0.695 0.102
Tb 0.305 0.695 0.398
Tb 0.364 0.636 0.681
Tb 0.364 0.636 0.819
Tb 0.636 0.364 0.181
Tb 0.636 0.364 0.319
Tb 0.695 0.305 0.602
Tb 0.695 0.305 0.898
Tb 0.971 0.029 0.250
Sm 0.306 0.694 0.250
Sm 0.694 0.306 0.750
Er 0.035 0.965 0.622
Er 0.035 0.965 0.878
Er 0.345 0.655 0.543
Er 0.345 0.655 0.957
Er 0.655 0.345 0.043
Er 0.655 0.345 0.457
Er 0.965 0.035 0.122
Er 0.965 0.035 0.378
CELL_PARAMETERS angstrom
2.854 -4.800 0.000
2.854 4.800 0.000
0.000 0.000 25.583
! density of states at the Fermi level: 19.58 states/eV/f.u.

=====

Entry 2
! GGA-PBE Tb6SmEr4, optimized geometry; values from VASP
&SYSTEM
  ibrav = 0, nat = 11, ntyp = 3
/
ATOMIC_SPECIES
Tb 158.93 Tb.upf
Sm 150.36 Sm.upf
Er 167.26 Er.upf
ATOMIC_POSITIONS crystal
Tb 0.000 0.500 0.500
Tb 0.047 0.581 0.000
Tb 0.419 0.419 0.466
Tb 0.500 0.000 0.500
Tb 0.581 0.047 0.000
Tb 0.953 0.953 0.534
Sm 0.000 0.000 0.000
Er 0.258 0.258 0.676
Er 0.419 0.742 0.000
Er 0.581 0.581 0.324
Er 0.742 0.419 0.000
CELL_PARAMETERS angstrom
-3.736 3.736 6.702
3.736 -3.736 6.702
3.736 3.736 -6.702
! density of states at the Fermi level: 15.43 states/eV/f.u.

=====

It comes down to entry 1, which is 296 meV/atom more stable than the next structure.

=====

Entry 1
! GGA-PBE Tb5Sm3Er2, optimized geometry; values from VASP
&SYSTEM
  ibrav = 0, nat = 20, ntyp = 3
/
ATOMIC_SPECIES
Tb 158.93 Tb.upf
Sm 150.36 Sm.upf
Er 167.26 Er.upf
ATOMIC_POSITIONS crystal
Tb 0.026 0.974 0.750
Tb 0.152 0.381 0.780
Tb 0.272 0.728 0.250
Tb 0.381 0.152 0.280
Tb 0.469 0.531 0.250
Tb 0.531 0.469 0.750
Tb 0.619 0.848 0.720
Tb 0.728 0.272 0.750
Tb 0.848 0.619 0.220
Tb 0.974 0.026 0.250
Sm 0.017 0.266 0.046
Sm 0.233 0.767 0.750
Sm 0.266 0.017 0.546
Sm 0.734 0.983 0.454
Sm 0.767 0.233 0.250
Sm 0.983 0.734 0.954
Er 0.226 0.462 0.453
Er 0.462 0.226 0.953
Er 0.538 0.774 0.047
Er 0.774 0.538 0.547
CELL_PARAMETERS angstrom
5.355 -7.874 0.000
5.355 7.874 0.000
-5.307 0.000 7.853
! density of states at the Fermi level: 18.20 states/eV/f.u.

=====

Entry 2
! GGA-PBE Tb5Sm3Er2, optimized geometry; values from VASP
&SYSTEM
  ibrav = 0, nat = 20, ntyp = 3
/
ATOMIC_SPECIES
Tb 158.93 Tb.upf
Sm 150.36 Sm.upf
Er 167.26 Er.upf
ATOMIC_POSITIONS crystal
Tb 0.069 0.750 0.319
Tb 0.170 0.102 0.272
Tb 0.250 0.250 0.000
Tb 0.330 0.602 0.932
Tb 0.431 0.750 0.681
Tb 0.569 0.250 0.319
Tb 0.670 0.398 0.068
Tb 0.750 0.750 0.000
Tb 0.830 0.898 0.728
Tb 0.931 0.250 0.681
Sm 0.171 0.791 0.962
Sm 0.250 0.750 0.500
Sm 0.329 0.291 0.621
Sm 0.671 0.709 0.379
Sm 0.750 0.250 0.500
Sm 0.829 0.209 0.038
Er 0.025 0.264 0.289
Er 0.475 0.764 0.238
Er 0.525 0.236 0.762
Er 0.975 0.736 0.711
CELL_PARAMETERS angstrom
-5.573 8.867 3.365
5.573 -8.867 3.365
5.573 8.867 -3.365
! density of states at the Fermi level: 15.83 states/eV/f.u.

=====

It comes down to entry 1, which is 66 meV/atom more stable than the next structure.

=====

Entry 1
! GGA-PBE Tb5Sm2Er4, optimized geometry; values from VASP
&SYSTEM
  ibrav = 0, nat = 11, ntyp = 3
/
ATOMIC_SPECIES
Tb 158.93 Tb.upf
Sm 150.36 Sm.upf
Er 167.26 Er.upf
ATOMIC_POSITIONS crystal
Tb 0.000 0.000 0.000
Tb 0.273 0.184 0.455
Tb 0.363 0.907 0.273
Tb 0.637 0.093 0.727
Tb 0.727 0.816 0.545
Sm 0.090 0.726 0.819
Sm 0.910 0.274 0.181
Er 0.182 0.454 0.636
Er 0.454 0.636 0.093
Er 0.546 0.364 0.907
Er 0.818 0.546 0.364
CELL_PARAMETERS angstrom
3.550 0.000 0.000
0.001 8.701 0.000
1.764 2.885 11.285
! density of states at the Fermi level: 14.41 states/eV/f.u.

=====

Entry 2
! GGA-PBE Tb5Sm2Er4, optimized geometry; values from VASP
&SYSTEM
  ibrav = 0, nat = 11, ntyp = 3
/
ATOMIC_SPECIES
Tb 158.93 Tb.upf
Sm 150.36 Sm.upf
Er 167.26 Er.upf
ATOMIC_POSITIONS crystal
Tb 0.000 0.000 0.000
Tb 0.054 0.357 0.697
Tb 0.340 0.643 0.697
Tb 0.660 0.357 0.303
Tb 0.946 0.643 0.303
Sm 0.268 0.768 0.500
Sm 0.732 0.232 0.500
Er 0.312 0.500 0.812
Er 0.403 0.903 0.500
Er 0.597 0.097 0.500
Er 0.688 0.500 0.188
CELL_PARAMETERS angstrom
-1.744 4.501 11.604
1.744 -4.501 11.604
1.744 4.501 -11.604
! density of states at the Fermi level: 15.82 states/eV/f.u.

=====

It comes down to entry 1, which is 186 meV/atom more stable than the next structure.

=====

Entry 1
! GGA-PBE TbSm5Er, optimized geometry; values from VASP
&SYSTEM
  ibrav = 0, nat = 14, ntyp = 3
/
ATOMIC_SPECIES
Tb 158.93 Tb.upf
Sm 150.36 Sm.upf
Er 167.26 Er.upf
ATOMIC_POSITIONS crystal
Tb 0.000 0.000 0.000
Tb 0.500 0.500 0.000
Sm 0.000 0.000 0.500
Sm 0.192 0.285 0.232
Sm 0.192 0.715 0.232
Sm 0.308 0.215 0.768
Sm 0.308 0.785 0.768
Sm 0.500 0.500 0.500
Sm 0.692 0.215 0.232
Sm 0.692 0.785 0.232
Sm 0.808 0.285 0.768
Sm 0.808 0.715 0.768
Er 0.000 0.500 0.500
Er 0.500 0.000 0.500
CELL_PARAMETERS angstrom
6.975 0.000 0.000
0.000 10.375 0.000
-2.178 0.000 6.664
! density of states at the Fermi level: 8.59 states/eV/f.u.

=====

Entry 2
! GGA-PBE TbSm5Er, optimized geometry; values from VASP
&SYSTEM
  ibrav = 0, nat = 14, ntyp = 3
/
ATOMIC_SPECIES
Tb 158.93 Tb.upf
Sm 150.36 Sm.upf
Er 167.26 Er.upf
ATOMIC_POSITIONS crystal
Tb 0.000 0.000 0.000
Tb 0.500 0.500 0.500
Sm 0.000 0.253 0.995
Sm 0.000 0.500 0.262
Sm 0.000 0.747 0.995
Sm 0.179 0.000 0.498
Sm 0.321 0.500 0.998
Sm 0.500 0.000 0.762
Sm 0.500 0.247 0.495
Sm 0.500 0.753 0.495
Sm 0.679 0.500 0.998
Sm 0.821 0.000 0.498
Er 0.000 0.500 0.735
Er 0.500 0.000 0.235
CELL_PARAMETERS angstrom
8.012 0.000 0.000
0.000 11.772 0.000
0.000 0.000 6.203
! density of states at the Fermi level: 9.51 states/eV/f.u.

=====

It comes down to entry 1, which is 713 meV/atom more stable than the next structure.

=====

Entry 1
! GGA-PBE Tb2SmEr7, optimized geometry; values from VASP
&SYSTEM
  ibrav = 0, nat = 10, ntyp = 3
/
ATOMIC_SPECIES
Tb 158.93 Tb.upf
Sm 150.36 Sm.upf
Er 167.26 Er.upf
ATOMIC_POSITIONS crystal
Tb 0.201 0.799 0.000
Tb 0.799 0.201 0.000
Sm 0.500 0.500 0.500
Er 0.000 0.000 0.000
Er 0.211 0.433 0.000
Er 0.299 0.701 0.500
Er 0.433 0.211 0.000
Er 0.567 0.789 0.000
Er 0.701 0.299 0.500
Er 0.789 0.567 0.000
CELL_PARAMETERS angstrom
4.325 -8.414 0.000
4.325 8.414 0.000
0.000 0.000 5.275
! density of states at the Fermi level: 14.52 states/eV/f.u.

=====

Entry 2
! GGA-PBE Tb2SmEr7, optimized geometry; values from VASP
&SYSTEM
  ibrav = 0, nat = 10, ntyp = 3
/
ATOMIC_SPECIES
Tb 158.93 Tb.upf
Sm 150.36 Sm.upf
Er 167.26 Er.upf
ATOMIC_POSITIONS crystal
Tb 0.173 0.173 0.000
Tb 0.827 0.827 0.000
Sm 0.000 0.500 0.500
Er 0.098 0.346 0.752
Er 0.333 0.833 0.500
Er 0.407 0.654 0.752
Er 0.500 0.500 0.000
Er 0.593 0.346 0.248
Er 0.667 0.167 0.500
Er 0.902 0.654 0.248
CELL_PARAMETERS angstrom
-1.797 5.747 8.228
1.797 -5.747 8.228
1.797 5.747 -8.228
! density of states at the Fermi level: 16.14 states/eV/f.u.

=====

It comes down to entry 2, which is 388 meV/atom more stable than the next structure.

=====

Entry 1
! GGA-PBE TbSmEr2, optimized geometry; values from VASP
&SYSTEM
  ibrav = 0, nat = 4, ntyp = 3
/
ATOMIC_SPECIES
Tb 158.93 Tb.upf
Sm 150.36 Sm.upf
Er 167.26 Er.upf
ATOMIC_POSITIONS crystal
Tb 0.000 0.000 0.000
Sm 0.000 0.000 0.500
Er 0.500 0.500 0.248
Er 0.500 0.500 0.752
CELL_PARAMETERS angstrom
3.550 0.000 0.000
0.000 3.550 0.000
0.000 0.000 10.037
! density of states at the Fermi level: 5.31 states/eV/f.u.

=====

Entry 2
! GGA-PBE TbSmEr2, optimized geometry; values from VASP
&SYSTEM
  ibrav = 0, nat = 16, ntyp = 3
/
ATOMIC_SPECIES
Tb 158.93 Tb.upf
Sm 150.36 Sm.upf
Er 167.26 Er.upf
ATOMIC_POSITIONS crystal
Tb 0.000 0.000 0.000
Tb 0.000 0.500 0.500
Tb 0.500 0.000 0.500
Tb 0.500 0.500 0.000
Sm 0.000 0.000 0.500
Sm 0.000 0.500 0.000
Sm 0.500 0.000 0.000
Sm 0.500 0.500 0.500
Er 0.250 0.250 0.250
Er 0.250 0.250 0.750
Er 0.250 0.750 0.250
Er 0.250 0.750 0.750
Er 0.750 0.250 0.250
Er 0.750 0.250 0.750
Er 0.750 0.750 0.250
Er 0.750 0.750 0.750
CELL_PARAMETERS angstrom
8.006 0.000 0.000
0.000 8.006 0.000
0.000 0.000 8.006
! density of states at the Fermi level: 8.31 states/eV/f.u.

=====

Entry 3
! GGA-PBE TbSmEr2, optimized geometry; values from VASP
&SYSTEM
  ibrav = 0, nat = 8, ntyp = 3
/
ATOMIC_SPECIES
Tb 158.93 Tb.upf
Sm 150.36 Sm.upf
Er 167.26 Er.upf
ATOMIC_POSITIONS crystal
Tb 0.000 0.000 0.000
Tb 0.500 0.500 0.500
Sm 0.000 0.500 0.998
Sm 0.500 0.000 0.498
Er 0.000 0.251 0.332
Er 0.000 0.749 0.332
Er 0.500 0.249 0.832
Er 0.500 0.751 0.832
CELL_PARAMETERS angstrom
3.627 0.000 0.000
0.000 11.310 0.000
0.000 0.000 6.264
! density of states at the Fermi level: 7.05 states/eV/f.u.

=====

Entry 4
! GGA-PBE TbSmEr2, optimized geometry; values from VASP
&SYSTEM
  ibrav = 0, nat = 12, ntyp = 3
/
ATOMIC_SPECIES
Tb 158.93 Tb.upf
Sm 150.36 Sm.upf
Er 167.26 Er.upf
ATOMIC_POSITIONS crystal
Tb 0.000 0.000 0.000
Tb 0.333 0.667 0.667
Tb 0.667 0.333 0.333
Sm 0.000 0.000 0.166
Sm 0.333 0.667 0.833
Sm 0.667 0.333 0.499
Er 0.000 0.000 0.416
Er 0.000 0.000 0.584
Er 0.333 0.667 0.082
Er 0.333 0.667 0.251
Er 0.667 0.333 0.749
Er 0.667 0.333 0.917
CELL_PARAMETERS angstrom
3.571 0.000 0.000
-1.786 3.093 0.000
0.000 0.000 34.429
! density of states at the Fermi level: 5.69 states/eV/f.u.

=====

It comes down to entry 4, which is 6 meV/atom more stable than the next structure.

=====

Entry 1
! GGA-PBE TbSm2Er4, optimized geometry; values from VASP
&SYSTEM
  ibrav = 0, nat = 14, ntyp = 3
/
ATOMIC_SPECIES
Tb 158.93 Tb.upf
Sm 150.36 Sm.upf
Er 167.26 Er.upf
ATOMIC_POSITIONS crystal
Tb 0.029 0.250 0.361
Tb 0.971 0.750 0.639
Sm 0.155 0.250 0.948
Sm 0.399 0.750 0.509
Sm 0.601 0.250 0.491
Sm 0.845 0.750 0.052
Er 0.147 0.250 0.664
Er 0.283 0.750 0.923
Er 0.343 0.505 0.211
Er 0.343 0.995 0.211
Er 0.657 0.005 0.789
Er 0.657 0.495 0.789
Er 0.717 0.250 0.077
Er 0.853 0.750 0.336
CELL_PARAMETERS angstrom
6.054 0.000 0.000
0.000 6.574 0.000
-2.950 0.000 11.194
! density of states at the Fermi level: 11.67 states/eV/f.u.

=====

Entry 2
! GGA-PBE TbSm2Er4, optimized geometry; values from VASP
&SYSTEM
  ibrav = 0, nat = 14, ntyp = 3
/
ATOMIC_SPECIES
Tb 158.93 Tb.upf
Sm 150.36 Sm.upf
Er 167.26 Er.upf
ATOMIC_POSITIONS crystal
Tb 0.000 0.000 0.000
Tb 0.500 0.500 0.000
Sm 0.070 0.000 0.430
Sm 0.430 0.500 0.570
Sm 0.570 0.500 0.430
Sm 0.930 0.000 0.570
Er 0.145 0.500 0.843
Er 0.205 0.500 0.293
Er 0.295 0.000 0.707
Er 0.355 0.000 0.157
Er 0.645 0.000 0.843
Er 0.705 0.000 0.293
Er 0.795 0.500 0.707
Er 0.855 0.500 0.157
CELL_PARAMETERS angstrom
16.726 0.000 0.000
0.000 3.525 0.000
-4.362 0.000 7.548
! density of states at the Fermi level: 10.91 states/eV/f.u.

=====

It comes down to entry 2, which is 88 meV/atom more stable than the next structure.